Record 1
Entry from Alexandria: a relaxed structure of NbPb2O4 (PBE-GGA).

Unit cell a=4.200 b=6.153 c=10.042 alpha=90.00 beta=101.05 gamma=90.00
Space group P2_1/m (No. 11)
Inequivalent atoms, fractional coordinates:
Nb (0.195, 0.250, 0.270)
Pb (0.264, 0.250, 0.603)
Pb (0.499, 0.750, 0.032)
O (0.043, 0.250, 0.075)
O (0.191, 0.006, 0.385)
O (0.364, 0.750, 0.745)

Properties
The uncorrected formation energy comes out at -1.6865 eV/atom.

***

Record 2
Entry from Alexandria: a relaxed structure of EuPu2Ge (PBE-GGA).

Unit cell a=4.554 b=4.554 c=4.882 alpha=90.00 beta=90.00 gamma=90.00
Space group P4/mmm (No. 123)
Inequivalent atoms, fractional coordinates:
Eu (0.000, 0.000, 0.000)
Pu (0.000, 0.500, 0.500)
Ge (0.500, 0.500, 0.000)

Properties
For the energy of formation from the pure elements, the calculation gives -181 meV/atom.

***

Record 3
Entry from Alexandria: a relaxed structure of LaGd2Nb (PBE-GGA).

Unit cell a=3.3401 b=3.3401 c=35.6423 alpha=90.00 beta=90.00 gamma=120.00
Space group R-3m (No. 166, hexagonal axes)
Inequivalent atoms, fractional coordinates:
La (0.0000, 0.0000, 0.0000)
Gd (0.0000, 0.0000, 0.4198)
Nb (0.0000, 0.0000, 0.5000)

Properties
For the energy of formation from the pure elements, the calculation gives 570 meV/atom.

***

Record 4
Entry from Alexandria: a relaxed structure of Pr4HoIn2 (PBE-GGA).

Unit cell a=6.347 b=8.043 c=9.286 alpha=88.50 beta=76.24 gamma=76.57
Space group P1 (No. 1)
Inequivalent atoms, fractional coordinates:
Pr (0.000, 0.000, 0.000)
Pr (0.015, 0.593, 0.155)
Pr (0.275, 0.755, 0.406)
Pr (0.300, 0.319, 0.557)
Pr (0.383, 0.276, 0.905)
Pr (0.557, 0.798, 0.007)
Pr (0.739, 0.553, 0.558)
Pr (0.862, 0.076, 0.646)
Ho (0.138, 0.166, 0.282)
Ho (0.606, 0.363, 0.212)
In (0.123, 0.670, 0.772)
In (0.405, 0.937, 0.684)
In (0.694, 0.962, 0.343)
In (0.856, 0.397, 0.875)

Properties
For the energy of formation from the pure elements, the calculation gives -209 meV/atom.

***

Record 5
Entry from Alexandria: a relaxed structure of La2TlF (PBE-GGA).

Unit cell a=3.9351 b=3.9351 c=23.7189 alpha=90.00 beta=90.00 gamma=120.00
Space group R-3m (No. 166, hexagonal axes)
Inequivalent atoms, fractional coordinates:
La (0.0000, 0.0000, 0.2278)
Tl (0.0000, 0.0000, 0.0000)
F (0.0000, 0.0000, 0.5000)

Properties
The uncorrected formation energy comes out at -1.3947 eV/atom.

***

Record 6
Entry from Alexandria: a relaxed structure of Ce3Be2ZnPd9 (PBE-GGA).

Unit cell a=6.7830 b=6.7830 c=6.8902 alpha=90.00 beta=90.00 gamma=120.00
Space group P-3m1 (No. 164)
Inequivalent atoms, fractional coordinates:
Ce (0.0000, 0.0000, 0.0000)
Ce (0.3333, 0.6667, 0.6727)
Be (0.3333, 0.6667, 0.1399)
Zn (0.0000, 0.0000, 0.5000)
Pd (0.0000, 0.5000, 0.0000)
Pd (0.1851, 0.3702, 0.3340)

Properties
For the energy of formation from the pure elements, the calculation gives -540 meV/atom.

***

Record 7
Entry from Alexandria: a relaxed structure of SrNdMgAu (PBE-GGA).

Unit cell a=7.731 b=7.731 c=7.731 alpha=90.00 beta=90.00 gamma=90.00
Space group F-43m (No. 216)
Inequivalent atoms, fractional coordinates:
Sr (0.000, 0.000, 0.000)
Nd (0.000, 0.000, 0.500)
Mg (0.250, 0.250, 0.750)
Au (0.250, 0.250, 0.250)

Properties
For the energy of formation from the pure elements, the calculation gives -318 meV/atom.

***

Record 8
Entry from Alexandria: a relaxed structure of TiNb2Rh9 (PBE-GGA).

Unit cell a=3.889 b=3.889 c=11.658 alpha=90.00 beta=90.00 gamma=90.00
Space group P4/mmm (No. 123)
Inequivalent atoms, fractional coordinates:
Ti (0.000, 0.000, 0.000)
Nb (0.000, 0.000, 0.331)
Rh (0.000, 0.500, 0.165)
Rh (0.000, 0.500, 0.500)
Rh (0.500, 0.500, 0.000)
Rh (0.500, 0.500, 0.333)

Properties
For the energy of formation from the pure elements, the calculation gives -556 meV/atom.

***

Record 9
Entry from Alexandria: a relaxed structure of Pr4ZnSe2S (PBE-GGA).

Unit cell a=7.371 b=4.178 c=7.415 alpha=90.00 beta=108.86 gamma=90.00
Space group P2/m (No. 10)
Inequivalent atoms, fractional coordinates:
Pr (0.242, 0.000, 0.240)
Pr (0.247, 0.500, 0.753)
Zn (0.500, 0.000, 0.000)
Se (0.000, 0.000, 0.500)
Se (0.500, 0.500, 0.500)
S (0.000, 0.500, 0.000)

Properties
The uncorrected formation energy comes out at -1.4890 eV/atom.

***

Record 10
Entry from Alexandria: a relaxed structure of ErZnNi (PBE-GGA).

Unit cell a=4.2507 b=4.2507 c=3.4754 alpha=90.00 beta=90.00 gamma=120.00
Space group P-6m2 (No. 187)
Inequivalent atoms, fractional coordinates:
Er (0.0000, 0.0000, 0.0000)
Zn (0.3333, 0.6667, 0.5000)
Ni (0.6667, 0.3333, 0.5000)

Properties
For the energy of formation from the pure elements, the calculation gives -394 meV/atom.

***

Record 11
Entry from Alexandria: a relaxed structure of PmMgSiPd (PBE-GGA).

Unit cell a=6.860 b=6.860 c=6.860 alpha=90.00 beta=90.00 gamma=90.00
Space group F-43m (No. 216)
Inequivalent atoms, fractional coordinates:
Pm (0.000, 0.000, 0.000)
Mg (0.000, 0.000, 0.500)
Si (0.250, 0.250, 0.750)
Pd (0.250, 0.250, 0.250)

Properties
The uncorrected formation energy comes out at -0.5415 eV/atom.

***

Record 12
Entry from Alexandria: a relaxed structure of AcSmHo2Tm (PBE-GGA).

Unit cell a=6.436 b=17.594 c=6.427 alpha=90.00 beta=90.00 gamma=90.00
Space group Cmcm (No. 63)
Inequivalent atoms, fractional coordinates:
Ac (0.000, 0.159, 0.250)
Sm (0.000, 0.347, 0.250)
Ho (0.248, 0.500, 0.000)
Tm (0.000, 0.250, 0.750)

Properties
For the energy of formation from the pure elements, the calculation gives 398 meV/atom.

***

Record 13
Entry from Alexandria: a relaxed structure of Tb7Pm2Dy2 (PBE-GGA).

Unit cell a=11.307 b=11.486 c=6.064 alpha=90.00 beta=113.25 gamma=90.00
Space group C2/m (No. 12)
Inequivalent atoms, fractional coordinates:
Tb (0.000, 0.000, 0.000)
Tb (0.087, 0.500, 0.802)
Tb (0.175, 0.236, 0.175)
Pm (0.231, 0.000, 0.590)
Dy (0.000, 0.218, 0.500)

Properties
For the energy of formation from the pure elements, the calculation gives 152 meV/atom.

***

Record 14
Entry from Alexandria: a relaxed structure of NaLiO2 (PBE-GGA).

Unit cell a=2.9342 b=2.9342 c=19.9468 alpha=90.00 beta=90.00 gamma=120.00
Space group R-3m (No. 166, hexagonal axes)
Inequivalent atoms, fractional coordinates:
Na (0.0000, 0.0000, 0.0000)
Li (0.0000, 0.0000, 0.5000)
O (0.0000, 0.0000, 0.4114)

Properties
The uncorrected formation energy comes out at -0.5912 eV/atom.

***

Record 15
Entry from Alexandria: a relaxed structure of TiBe2CdFe (PBE-GGA).

Unit cell a=4.035 b=4.035 c=4.689 alpha=90.00 beta=90.00 gamma=90.00
Space group P4/mmm (No. 123)
Inequivalent atoms, fractional coordinates:
Ti (0.000, 0.000, 0.000)
Be (0.000, 0.500, 0.500)
Cd (0.500, 0.500, 0.000)
Fe (0.500, 0.500, 0.500)

Properties
For the energy of formation from the pure elements, the calculation gives 737 meV/atom.

***

Record 16
Entry from Alexandria: a relaxed structure of HfGa7Pd4 (PBE-GGA).

Unit cell a=10.747 b=5.050 c=9.248 alpha=90.00 beta=124.01 gamma=90.00
Space group C2/m (No. 12)
Inequivalent atoms, fractional coordinates:
Hf (0.000, 0.000, 0.000)
Ga (0.000, 0.500, 0.000)
Ga (0.069, 0.000, 0.355)
Ga (0.152, 0.500, 0.564)
Ga (0.209, 0.000, 0.892)
Pd (0.088, 0.500, 0.784)
Pd (0.220, 0.500, 0.326)

Properties
For the energy of formation from the pure elements, the calculation gives -265 meV/atom.

***

Record 17
Entry from Alexandria: a relaxed structure of Cs2LiRhCl6 (PBE-GGA).

Unit cell a=10.224 b=10.224 c=10.224 alpha=90.00 beta=90.00 gamma=90.00
Space group Fm-3m (No. 225)
Inequivalent atoms, fractional coordinates:
Cs (0.250, 0.250, 0.250)
Li (0.000, 0.000, 0.000)
Rh (0.000, 0.000, 0.500)
Cl (0.000, 0.000, 0.266)

Properties
The uncorrected formation energy comes out at -1.3973 eV/atom.

***

Record 18
Entry from Alexandria: a relaxed structure of Be2BH3O5 (PBE-GGA).

Unit cell a=4.440 b=4.458 c=5.410 alpha=91.91 beta=90.80 gamma=119.80
Space group P1 (No. 1)
Inequivalent atoms, fractional coordinates:
Be (0.000, 0.000, 0.000)
Be (0.340, 0.681, 0.205)
B (0.670, 0.341, 0.098)
H (0.128, 0.869, 0.612)
H (0.238, 0.475, 0.573)
H (0.748, 0.872, 0.611)
O (0.349, 0.706, 0.505)
O (0.362, 0.032, 0.099)
O (0.671, 0.650, 0.099)
O (0.980, 0.340, 0.094)
O (0.993, 0.980, 0.691)

Properties
The total energy is -6.478 eV/atom.

***

Record 19
Entry from Alexandria: a relaxed structure of TbY6Sc (PBE-GGA).

Unit cell a=6.112 b=6.117 c=7.069 alpha=90.14 beta=106.59 gamma=99.63
Space group P-1 (No. 2)
Inequivalent atoms, fractional coordinates:
Tb (0.000, 0.000, 0.000)
Y (0.001, 0.500, 0.252)
Y (0.494, 0.249, 0.872)
Y (0.497, 0.246, 0.376)
Sc (0.000, 0.000, 0.500)

Properties
For the energy of formation from the pure elements, the calculation gives 39 meV/atom.

***

Record 20
Entry from Alexandria: a relaxed structure of MgTlBr2 (PBE-GGA).

Unit cell a=3.7810 b=3.7810 c=32.2620 alpha=90.00 beta=90.00 gamma=120.00
Space group R-3m (No. 166, hexagonal axes)
Inequivalent atoms, fractional coordinates:
Mg (0.0000, 0.0000, 0.0000)
Tl (0.0000, 0.0000, 0.5000)
Br (0.0000, 0.0000, 0.3815)

Properties
The uncorrected formation energy comes out at -0.9799 eV/atom.

***

Record 21
Entry from Alexandria: a relaxed structure of Dy5Ho4Tl2 (PBE-GGA).

Unit cell a=5.2111 b=5.2111 c=46.7238 alpha=90.00 beta=90.00 gamma=120.00
Space group R-3m (No. 166, hexagonal axes)
Inequivalent atoms, fractional coordinates:
Dy (0.0000, 0.0000, 0.0000)
Dy (0.0000, 0.0000, 0.1481)
Dy (0.0000, 0.0000, 0.3015)
Ho (0.0000, 0.0000, 0.0735)
Ho (0.0000, 0.0000, 0.2252)
Tl (0.0000, 0.0000, 0.3817)

Properties
For the energy of formation from the pure elements, the calculation gives 259 meV/atom.

***

Record 22
Entry from Alexandria: a relaxed structure of CaPrTeP (PBE-GGA).

Unit cell a=4.3362 b=4.3362 c=21.6891 alpha=90.00 beta=90.00 gamma=120.00
Space group R3m (No. 160, hexagonal axes)
Inequivalent atoms, fractional coordinates:
Ca (0.0000, 0.0000, 0.0000)
Pr (0.0000, 0.0000, 0.5217)
Te (0.0000, 0.0000, 0.7580)
P (0.0000, 0.0000, 0.2571)

Properties
The uncorrected formation energy comes out at -1.5041 eV/atom.

***

Record 23
Entry from Alexandria: a relaxed structure of BaCaTlHg (PBE-GGA).

Unit cell a=8.137 b=8.137 c=8.137 alpha=90.00 beta=90.00 gamma=90.00
Space group F-43m (No. 216)
Inequivalent atoms, fractional coordinates:
Ba (0.000, 0.000, 0.000)
Ca (0.000, 0.000, 0.500)
Tl (0.250, 0.250, 0.250)
Hg (0.250, 0.250, 0.750)

Properties
For the energy of formation from the pure elements, the calculation gives -449 meV/atom.

***

Record 24
Entry from Alexandria: a relaxed structure of Li2GaIr (PBE-GGA).

Unit cell a=3.642 b=3.642 c=4.190 alpha=90.00 beta=90.00 gamma=90.00
Space group P4/mmm (No. 123)
Inequivalent atoms, fractional coordinates:
Li (0.000, 0.500, 0.000)
Ga (0.000, 0.000, 0.500)
Ir (0.500, 0.500, 0.500)

Properties
For the energy of formation from the pure elements, the calculation gives -316 meV/atom.

***

Record 25
Entry from Alexandria: a relaxed structure of Zr3VPd (PBE-GGA).

Unit cell a=4.822 b=4.822 c=4.822 alpha=90.00 beta=90.00 gamma=90.00
Space group Pm-3m (No. 221)
Inequivalent atoms, fractional coordinates:
Zr (0.000, 0.000, 0.500)
V (0.000, 0.000, 0.000)
Pd (0.500, 0.500, 0.500)

Properties
For the energy of formation from the pure elements, the calculation gives 575 meV/atom.